1.
Crystalline Mn5Cr4 at its relaxed geometry. Source: Alexandria, functional PBE-GGA.

Lattice parameters (Å, degrees): 8.4519 8.4519 2.8380 90.00 90.00 90.00
Space group I4/mmm (No. 139)
One atom of each set of equivalent atoms:
1 Mn 0.0000 0.0000 0.0000 [2 per cell]
2 Mn 0.1670 0.1670 0.5000 [8 per cell]
3 Cr 0.0000 0.3324 0.0000 [8 per cell]

- E_form: 67.6 meV per atom
- Raw total energy: -9.30 eV per atom

***

2.
Crystalline HfAuC3 at its relaxed geometry. Source: Alexandria, functional PBE-GGA.

Lattice parameters (Å, degrees): 4.0548 4.0548 4.0548 90.00 90.00 90.00
Space group Pm-3m (No. 221)
One atom of each set of equivalent atoms:
1 Hf 0.0000 0.0000 0.0000 [1 per cell]
2 Au 0.5000 0.5000 0.5000 [1 per cell]
3 C 0.0000 0.5000 0.5000 [3 per cell]

- E_form: 2452.8 meV per atom
- Excess energy over the best structure of this formula in the dataset: 178 meV/atom
- Raw total energy: -5.73 eV per atom

***

3.
Crystalline Co2CuAu at its relaxed geometry. Source: Alexandria, functional PBE-GGA.

Lattice parameters (Å, degrees): 2.7391 2.7391 7.0169 90.00 90.00 90.00
Space group P4mm (No. 99)
One atom of each set of equivalent atoms:
1 Co 0.0000 0.0000 0.0000 [1 per cell]
2 Co 0.5000 0.5000 0.1979 [1 per cell]
3 Cu 0.0000 0.0000 0.4352 [1 per cell]
4 Au 0.5000 0.5000 0.7145 [1 per cell]

- E_form: 120.2 meV per atom
- Raw total energy: -5.28 eV per atom

***

4.
Crystalline DyErMgZr at its relaxed geometry. Source: Alexandria, functional PBE-GGA.

Lattice parameters (Å, degrees): 7.5392 7.5392 7.5392 90.00 90.00 90.00
Space group F-43m (No. 216)
One atom of each set of equivalent atoms:
1 Dy 0.0000 0.0000 0.0000 [4 per cell]
2 Er 0.0000 0.0000 0.5000 [4 per cell]
3 Mg 0.2500 0.2500 0.7500 [4 per cell]
4 Zr 0.2500 0.2500 0.2500 [4 per cell]

- E_form: 129.2 meV per atom
- Raw total energy: -4.70 eV per atom

***

5.
Crystalline La2Be2PdO6 at its relaxed geometry. Source: Alexandria, functional PBE-GGA.

Lattice parameters (Å, degrees): 5.3296 5.3296 16.9453 90.00 90.00 120.00
Space group R-3m (No. 166, hexagonal axes)
One atom of each set of equivalent atoms:
1 La 0.0000 0.0000 0.2144 [6 per cell]
2 Be 0.0000 0.0000 0.4259 [6 per cell]
3 Pd 0.0000 0.0000 0.0000 [3 per cell]
4 O 0.0018 0.5009 0.2376 [18 per cell]

- Uncorrected formation energy: -2340 meV per atom
- Raw total energy: -7.09 eV per atom

***

6.
Crystalline LiMnHg2 at its relaxed geometry. Source: Alexandria, functional PBE-GGA.

Lattice parameters (Å, degrees): 4.3328 4.3328 18.7413 90.00 90.00 90.00
Space group I-42d (No. 122)
One atom of each set of equivalent atoms:
1 Li 0.0000 0.0000 0.0000 [4 per cell]
2 Mn 0.0000 0.0000 0.5000 [4 per cell]
3 Hg 0.2450 0.2500 0.1250 [8 per cell]

- E_form: 271.9 meV per atom
- Raw total energy: -2.65 eV per atom

***

7.
Crystalline NbNiS2N at its relaxed geometry. Source: Alexandria, functional PBE-GGA.

Lattice parameters (Å, degrees): 4.9010 4.9010 3.8824 90.00 90.00 90.00
Space group P4/mmm (No. 123)
One atom of each set of equivalent atoms:
1 Nb 0.0000 0.0000 0.0000 [1 per cell]
2 Ni 0.5000 0.5000 0.5000 [1 per cell]
3 S 0.0000 0.5000 0.0000 [2 per cell]
4 N 0.0000 0.0000 0.5000 [1 per cell]

- Uncorrected formation energy: 405 meV per atom
- Excess energy over the best structure of this formula in the dataset: 0 meV/atom
- Raw total energy: -6.08 eV per atom

***

8.
Crystalline LaY4Ir at its relaxed geometry. Source: Alexandria, functional PBE-GGA.

Lattice parameters (Å, degrees): 8.8141 8.8141 8.8141 90.00 90.00 90.00
Space group F-43m (No. 216)
One atom of each set of equivalent atoms:
1 La 0.0000 0.0000 0.0000 [4 per cell]
2 Y 0.1239 0.1239 0.6239 [16 per cell]
3 Ir 0.2500 0.2500 0.2500 [4 per cell]

- E_form: 564.3 meV per atom
- Raw total energy: -6.04 eV per atom

***

Number 1: magnetic moment 4.08 μB/f.u.. Number 2: magnetic moment 0.00 μB/f.u.. Number 3: magnetic moment 3.41 μB/f.u.. Number 4: magnetic moment 2.05 μB/f.u.. Number 5: magnetic moment 1.90 μB/f.u.. Number 6: magnetic moment 4.18 μB/f.u.. Number 7: magnetic moment 1.97 μB/f.u.. Number 8: magnetic moment 0.01 μB/f.u..